(1)
Density functional theory data (PBE-GGA) for a relaxed NdSm2Pa crystal.

Output
DOS(E_F)	2.76	states/eV/atom
E above lowest polymorph	261	meV per atom
raw total energy	-5.519	eV per atom
energy relative to the elements	406	meV per atom

a b c (Å): 5.5946 5.5946 5.6980
angles (deg): 60.60 60.60 60.00
Closest atoms and distances in Å follow each position.
Sites, in units of the cell vectors:
Pa  0.0000  0.0000  0.0000  8 Sm 3.37-3.72
Nd  0.5000  0.5000  0.5000  8 Sm 3.32-3.51
Sm  0.2642  0.2642  0.2075  4 Nd 3.32-3.51, 3 Pa 3.37
Sm  0.7358  0.7358  0.7925  4 Nd 3.32-3.51, 3 Pa 3.37

=====

(2)
Density functional theory data (PBE-GGA) for a relaxed Pm2Ag4Te5 crystal.

Output
DOS(E_F)	0.51	states/eV/atom
formation energy without anion corrections	-568	meV/atom
raw total energy	-3.897	eV per atom

a b c (Å): 4.5191 4.5191 19.2443
angles (deg): 83.26 83.26 60.00
Closest atoms and distances in Å follow each position.
Sites, in units of the cell vectors:
Pm  0.1347  0.1347  0.5959  6 Te 3.18-3.19
Pm  0.8653  0.8653  0.4041  6 Te 3.18-3.19
Ag  0.6850  0.6850  0.9451  4 Te 2.76-2.99
Ag  0.5847  0.5847  0.2458  4 Te 2.74-2.87
Ag  0.4153  0.4153  0.7542  4 Te 2.74-2.87
Ag  0.3150  0.3150  0.0549  4 Te 2.76-2.99
Te  0.7695  0.7695  0.6915  3 Ag 2.87, 3 Pm 3.18
Te  0.6326  0.6326  0.1021  5 Ag 2.74-2.99
Te  0.5000  0.5000  0.5000  6 Pm 3.19
Te  0.3674  0.3674  0.8979  5 Ag 2.74-2.99
Te  0.2305  0.2305  0.3085  3 Ag 2.87, 3 Pm 3.18

=====

(3)
Density functional theory data (PBE-GGA) for a relaxed Ti3PtC crystal.

Output
DOS(E_F)	1.12	states/eV/atom
E above lowest polymorph	570	meV per atom
raw total energy	-8.045	eV per atom
energy relative to the elements	-255	meV per atom

a b c (Å): 7.7222 7.7222 7.7222
angles (deg): 60.00 60.00 60.00
Closest atoms and distances in Å follow each position.
Sites, in units of the cell vectors:
C  0.1250  0.1250  0.1250  6 Ti 2.10
C  0.1250  0.6250  0.1250  6 Ti 2.10
C  0.6250  0.1250  0.1250  6 Ti 2.10
C  0.1250  0.1250  0.6250  6 Ti 2.10
Pt  0.6250  0.6250  0.6250  6 Ti 2.71
Pt  0.6250  0.1250  0.6250  6 Ti 2.71
Pt  0.1250  0.6250  0.6250  6 Ti 2.71
Pt  0.6250  0.6250  0.1250  6 Ti 2.71
Ti  0.7988  0.2012  0.2012  2 C 2.10
Ti  0.0488  0.4512  0.4512  2 C 2.10
Ti  0.4512  0.4512  0.0488  2 C 2.10
Ti  0.4512  0.0488  0.0488  2 C 2.10
Ti  0.0488  0.4512  0.0488  2 C 2.10
Ti  0.7988  0.2012  0.7988  2 C 2.10
Ti  0.4512  0.0488  0.4512  2 C 2.10
Ti  0.0488  0.0488  0.4512  2 C 2.10
Ti  0.2012  0.7988  0.2012  2 C 2.10
Ti  0.2012  0.7988  0.7988  2 C 2.10
Ti  0.2012  0.2012  0.7988  2 C 2.10
Ti  0.7988  0.7988  0.2012  2 C 2.10

=====

What did the third record say?
Density functional theory data (PBE-GGA) for a relaxed Ti3PtC crystal.

Output
DOS(E_F)	1.12	states/eV/atom
E above lowest polymorph	570	meV per atom
raw total energy	-8.045	eV per atom
energy relative to the elements	-255	meV per atom

a b c (Å): 7.7222 7.7222 7.7222
angles (deg): 60.00 60.00 60.00
Closest atoms and distances in Å follow each position.
Sites, in units of the cell vectors:
C  0.1250  0.1250  0.1250  6 Ti 2.10
C  0.1250  0.6250  0.1250  6 Ti 2.10
C  0.6250  0.1250  0.1250  6 Ti 2.10
C  0.1250  0.1250  0.6250  6 Ti 2.10
Pt  0.6250  0.6250  0.6250  6 Ti 2.71
Pt  0.6250  0.1250  0.6250  6 Ti 2.71
Pt  0.1250  0.6250  0.6250  6 Ti 2.71
Pt  0.6250  0.6250  0.1250  6 Ti 2.71
Ti  0.7988  0.2012  0.2012  2 C 2.10
Ti  0.0488  0.4512  0.4512  2 C 2.10
Ti  0.4512  0.4512  0.0488  2 C 2.10
Ti  0.4512  0.0488  0.0488  2 C 2.10
Ti  0.0488  0.4512  0.0488  2 C 2.10
Ti  0.7988  0.2012  0.7988  2 C 2.10
Ti  0.4512  0.0488  0.4512  2 C 2.10
Ti  0.0488  0.0488  0.4512  2 C 2.10
Ti  0.2012  0.7988  0.2012  2 C 2.10
Ti  0.2012  0.7988  0.7988  2 C 2.10
Ti  0.2012  0.2012  0.7988  2 C 2.10
Ti  0.7988  0.7988  0.2012  2 C 2.10